Record 1
First-principles (GGA-PBE) data for a relaxed structure of Sm3HoEr3, as listed in Alexandria.

a b c (Å): 9.5668 9.5668 5.6957
angles (deg): 90.00 90.00 120.00
Last column: nearest neighbours and their distance in Å.
Element x y z (fractional)
Sm: 0.0484 0.8067 0.2500  5 Er 3.52-3.63, 6 Sm 3.55-3.67, 1 Ho 3.59
Sm: 0.1933 0.2417 0.2500  5 Er 3.52-3.63, 6 Sm 3.55-3.67, 1 Ho 3.59
Sm: 0.2417 0.0484 0.7500  5 Er 3.52-3.63, 6 Sm 3.55-3.67, 1 Ho 3.59
Sm: 0.7583 0.9516 0.2500  5 Er 3.52-3.63, 6 Sm 3.55-3.67, 1 Ho 3.59
Sm: 0.8067 0.7583 0.7500  5 Er 3.52-3.63, 6 Sm 3.55-3.67, 1 Ho 3.59
Sm: 0.9516 0.1933 0.7500  5 Er 3.52-3.63, 6 Sm 3.55-3.67, 1 Ho 3.59
Ho: 0.3333 0.6667 0.2500  9 Er 3.53-3.61, 3 Sm 3.59
Ho: 0.6667 0.3333 0.7500  9 Er 3.53-3.61, 3 Sm 3.59
Er: 0.0948 0.6171 0.7500  4 Er 3.52-3.61, 5 Sm 3.52-3.63, 3 Ho 3.53-3.61
Er: 0.3829 0.4777 0.7500  4 Er 3.52-3.61, 5 Sm 3.52-3.63, 3 Ho 3.53-3.61
Er: 0.4777 0.0948 0.2500  4 Er 3.52-3.61, 5 Sm 3.52-3.63, 3 Ho 3.53-3.61
Er: 0.5223 0.9052 0.7500  4 Er 3.52-3.61, 5 Sm 3.52-3.63, 3 Ho 3.53-3.61
Er: 0.6171 0.5223 0.2500  4 Er 3.52-3.61, 5 Sm 3.52-3.63, 3 Ho 3.53-3.61
Er: 0.9052 0.3829 0.2500  4 Er 3.52-3.61, 5 Sm 3.52-3.63, 3 Ho 3.53-3.61

Computed properties:
For the total DFT energy (no corrections), the calculation gives -64.6 eV per cell. As for the formation energy: 0.016 eV per atom. Its excess energy over the best structure of this formula in the dataset is 0.00 eV/f.u.



Record 2
First-principles (GGA-PBE) data for a relaxed structure of Sm12HoEr7, as listed in Alexandria.

a b c (Å): 11.4863 11.4863 11.4863
angles (deg): 116.89 116.89 116.89
Last column: nearest neighbours and their distance in Å.
Element x y z (fractional)
Sm: 0.0000 0.4137 0.5863  2 Er 3.36, 5 Sm 3.38-3.70
Sm: 0.0000 0.5863 0.4137  2 Er 3.36, 5 Sm 3.38-3.70
Sm: 0.0862 0.0862 0.4393  4 Er 3.30-3.58, 1 Sm 3.35
Sm: 0.0862 0.4393 0.0862  4 Er 3.30-3.58, 1 Sm 3.35
Sm: 0.4137 0.0000 0.5863  2 Er 3.36, 5 Sm 3.38-3.70
Sm: 0.4137 0.5863 0.0000  2 Er 3.36, 5 Sm 3.38-3.70
Sm: 0.4393 0.0862 0.0862  4 Er 3.30-3.58, 1 Sm 3.35
Sm: 0.5607 0.9138 0.9138  4 Er 3.30-3.58, 1 Sm 3.35
Sm: 0.5863 0.0000 0.4137  2 Er 3.36, 5 Sm 3.38-3.70
Sm: 0.5863 0.4137 0.0000  2 Er 3.36, 5 Sm 3.38-3.70
Sm: 0.9138 0.5607 0.9138  4 Er 3.30-3.58, 1 Sm 3.35
Sm: 0.9138 0.9138 0.5607  4 Er 3.30-3.58, 1 Sm 3.35
Ho: 0.5000 0.5000 0.5000  8 Er 3.03-3.07
Er: 0.0000 0.0000 0.0000  2 Ho 3.07, 6 Er 3.29
Er: 0.1308 0.3746 0.3746  1 Ho 3.03, 1 Er 3.29, 4 Sm 3.30-3.36
Er: 0.3746 0.1308 0.3746  1 Ho 3.03, 1 Er 3.29, 4 Sm 3.30-3.36
Er: 0.3746 0.3746 0.1308  1 Ho 3.03, 1 Er 3.29, 4 Sm 3.30-3.36
Er: 0.6254 0.6254 0.8692  1 Ho 3.03, 1 Er 3.29, 4 Sm 3.30-3.36
Er: 0.6254 0.8692 0.6254  1 Ho 3.03, 1 Er 3.29, 4 Sm 3.30-3.36
Er: 0.8692 0.6254 0.6254  1 Ho 3.03, 1 Er 3.29, 4 Sm 3.30-3.36

Computed properties:
For the total DFT energy (no corrections), the calculation gives -88.1 eV per cell. As for the formation energy: 0.253 eV per atom. Its excess energy over the best structure of this formula in the dataset is 0.00 eV/f.u.



Record 3
First-principles (GGA-PBE) data for a relaxed structure of Sm2Ho5Er3, as listed in Alexandria.

a b c (Å): 9.4582 9.4582 9.4061
angles (deg): 108.26 108.26 111.88
Last column: nearest neighbours and their distance in Å.
Element x y z (fractional)
Sm: 0.0153 0.2679 0.0466  3 Er 3.15-3.43, 4 Ho 3.26-3.51
Sm: 0.2679 0.0153 0.5466  3 Er 3.15-3.43, 4 Ho 3.26-3.51
Sm: 0.7321 0.9847 0.4534  3 Er 3.15-3.43, 4 Ho 3.26-3.51
Sm: 0.9847 0.7321 0.9534  3 Er 3.15-3.43, 4 Ho 3.26-3.51
Ho: 0.1503 0.3858 0.7808  3 Er 3.43-3.61, 2 Sm 3.44-3.66, 3 Ho 3.49-3.62
Ho: 0.2318 0.7682 0.7500  5 Er 3.27-3.48, 2 Sm 3.44, 2 Ho 3.53
Ho: 0.2728 0.7272 0.2500  1 Ho 3.12, 2 Sm 3.26
Ho: 0.3858 0.1503 0.2808  3 Er 3.43-3.61, 2 Sm 3.44-3.66, 3 Ho 3.49-3.62
Ho: 0.4718 0.5282 0.2500  3 Ho 3.12-3.49, 4 Er 3.30-3.46
Ho: 0.5282 0.4718 0.7500  3 Ho 3.12-3.49, 4 Er 3.30-3.46
Ho: 0.6142 0.8497 0.7192  3 Er 3.43-3.61, 2 Sm 3.44-3.66, 3 Ho 3.49-3.62
Ho: 0.7272 0.2728 0.7500  1 Ho 3.12, 2 Sm 3.26
Ho: 0.7682 0.2318 0.2500  5 Er 3.27-3.48, 2 Sm 3.44, 2 Ho 3.53
Ho: 0.8497 0.6142 0.2192  3 Er 3.43-3.61, 2 Sm 3.44-3.66, 3 Ho 3.49-3.62
Er: 0.0231 0.9769 0.7500  3 Ho 3.27-3.48, 4 Sm 3.29-3.43, 2 Er 3.38
Er: 0.2218 0.4631 0.4502  1 Sm 3.15, 5 Ho 3.29-3.48, 1 Er 3.38
Er: 0.4631 0.2218 0.9502  1 Sm 3.15, 5 Ho 3.29-3.48, 1 Er 3.38
Er: 0.5369 0.7782 0.0498  1 Sm 3.15, 5 Ho 3.29-3.48, 1 Er 3.38
Er: 0.7782 0.5369 0.5498  1 Sm 3.15, 5 Ho 3.29-3.48, 1 Er 3.38
Er: 0.9769 0.0231 0.2500  3 Ho 3.27-3.48, 4 Sm 3.29-3.43, 2 Er 3.38

Computed properties:
For the total DFT energy (no corrections), the calculation gives -88.0 eV per cell. As for the formation energy: 0.200 eV per atom. Its excess energy over the best structure of this formula in the dataset is 0.00 eV/f.u.



Record 4
First-principles (GGA-PBE) data for a relaxed structure of Sm6HoEr, as listed in Alexandria.

a b c (Å): 5.0888 5.0888 10.1765
angles (deg): 90.00 90.00 90.00
Last column: nearest neighbours and their distance in Å.
Element x y z (fractional)
Sm: 0.0000 0.0000 0.0000  4 Ho 3.60, 8 Sm 3.60
Sm: 0.0000 0.0000 0.5000  8 Sm 3.60, 4 Er 3.60
Sm: 0.0000 0.5000 0.2503  2 Er 3.60, 8 Sm 3.60, 2 Ho 3.60
Sm: 0.0000 0.5000 0.7497  2 Er 3.60, 8 Sm 3.60, 2 Ho 3.60
Sm: 0.5000 0.0000 0.2503  2 Er 3.60, 8 Sm 3.60, 2 Ho 3.60
Sm: 0.5000 0.0000 0.7497  2 Er 3.60, 8 Sm 3.60, 2 Ho 3.60
Ho: 0.5000 0.5000 0.0000  12 Sm 3.60
Er: 0.5000 0.5000 0.5000  12 Sm 3.60

Computed properties:
For the total DFT energy (no corrections), the calculation gives -37.3 eV per cell. As for the formation energy: 0.018 eV per atom.



Record 5
First-principles (GGA-PBE) data for a relaxed structure of Sm4Ho3Er5, as listed in Alexandria.

a b c (Å): 6.1495 7.1005 8.6840
angles (deg): 89.94 90.00 89.92
Last column: nearest neighbours and their distance in Å.
Element x y z (fractional)
Sm: 0.1666 0.2515 0.1680  4 Ho 3.53-3.57, 5 Er 3.54-3.56, 3 Sm 3.55-3.57
Sm: 0.3320 0.9996 0.8315  5 Er 3.53-3.55, 4 Sm 3.55-3.58, 3 Ho 3.55-3.57
Sm: 0.6680 0.0004 0.1685  5 Er 3.53-3.55, 4 Sm 3.55-3.58, 3 Ho 3.55-3.57
Sm: 0.8334 0.7485 0.8320  4 Ho 3.53-3.57, 5 Er 3.54-3.56, 3 Sm 3.55-3.57
Ho: 0.0000 0.5000 0.5000  2 Ho 3.53, 2 Sm 3.53, 8 Er 3.53-3.55
Ho: 0.1678 0.7486 0.1685  5 Er 3.53-3.57, 6 Sm 3.53-3.57, 1 Ho 3.53
Ho: 0.8322 0.2514 0.8315  5 Er 3.53-3.57, 6 Sm 3.53-3.57, 1 Ho 3.53
Er: 0.0000 0.0000 0.5000  4 Sm 3.53-3.54, 4 Ho 3.54-3.55, 4 Er 3.55-3.56
Er: 0.3336 0.4995 0.8313  3 Er 3.53-3.57, 4 Ho 3.53-3.57, 5 Sm 3.55-3.56
Er: 0.4991 0.7483 0.5000  6 Er 3.53-3.57, 3 Ho 3.53-3.55, 3 Sm 3.54
Er: 0.5009 0.2517 0.5000  6 Er 3.53-3.57, 3 Ho 3.53-3.55, 3 Sm 3.54
Er: 0.6664 0.5005 0.1687  3 Er 3.53-3.57, 4 Ho 3.53-3.57, 5 Sm 3.55-3.56

Computed properties:
For the total DFT energy (no corrections), the calculation gives -55.2 eV per cell. As for the formation energy: 0.019 eV per atom. Its excess energy over the best structure of this formula in the dataset is 0.00 eV/f.u.



Record 6
First-principles (GGA-PBE) data for a relaxed structure of SmHo8Er2, as listed in Alexandria.

a b c (Å): 5.4046 8.3027 9.0520
angles (deg): 64.93 72.64 89.96
Last column: nearest neighbours and their distance in Å.
Element x y z (fractional)
Sm: 0.0000 0.0000 0.0000  12 Ho 3.32-3.68
Ho: 0.1185 0.4428 0.7627  3 Er 3.21-3.54, 1 Sm 3.32, 3 Ho 3.45
Ho: 0.1662 0.8934 0.6669  1 Sm 3.37, 3 Er 3.39-3.55, 7 Ho 3.41-3.77
Ho: 0.3406 0.8026 0.3186  8 Ho 3.41-3.74, 3 Er 3.45-3.56, 2 Sm 3.68
Ho: 0.4817 0.2780 0.0366  7 Ho 3.42-3.60, 2 Er 3.45-3.72, 2 Sm 3.66
Ho: 0.5183 0.7220 0.9634  7 Ho 3.42-3.60, 2 Er 3.45-3.72, 2 Sm 3.66
Ho: 0.6594 0.1974 0.6814  8 Ho 3.41-3.74, 3 Er 3.45-3.56, 2 Sm 3.68
Ho: 0.8338 0.1066 0.3331  1 Sm 3.37, 3 Er 3.39-3.55, 7 Ho 3.41-3.77
Ho: 0.8815 0.5572 0.2373  3 Er 3.21-3.54, 1 Sm 3.32, 3 Ho 3.45
Er: 0.2977 0.3413 0.4051  10 Ho 3.21-3.56
Er: 0.7023 0.6587 0.5949  10 Ho 3.21-3.56

Computed properties:
For the total DFT energy (no corrections), the calculation gives -49.4 eV per cell. As for the formation energy: 0.099 eV per atom. Its excess energy over the best structure of this formula in the dataset is 0.00 eV/f.u.



Record 7
First-principles (GGA-PBE) data for a relaxed structure of Sm2Ho5Er2, as listed in Alexandria.

a b c (Å): 8.8254 8.8254 11.8653
angles (deg): 114.32 114.32 44.24
Last column: nearest neighbours and their distance in Å.
Element x y z (fractional)
Sm: 0.0000 0.0000 0.0000  4 Ho 3.21-3.50, 2 Er 3.49
Sm: 0.3667 0.1523 0.2693  5 Ho 3.31-3.50, 2 Er 3.55-3.69, 1 Sm 3.68
Sm: 0.5457 0.4543 0.5000  8 Ho 3.48-3.90, 2 Sm 3.68, 2 Er 3.72
Sm: 0.8477 0.6333 0.7307  5 Ho 3.31-3.50, 2 Er 3.55-3.69, 1 Sm 3.68
Ho: 0.0241 0.1883 0.3624  2 Ho 2.96-3.29
Ho: 0.1836 0.2815 0.9897  1 Ho 3.00, 1 Sm 3.31, 1 Er 3.35
Ho: 0.2286 0.6776 0.1858  1 Ho 3.01, 1 Sm 3.21, 1 Er 3.26
Ho: 0.2366 0.4077 0.5714  4 Ho 3.29-3.64, 3 Sm 3.43-3.50, 3 Er 3.45-3.63
Ho: 0.3224 0.7714 0.8142  1 Ho 3.01, 1 Sm 3.21, 1 Er 3.26
Ho: 0.5923 0.7634 0.4286  4 Ho 3.29-3.64, 3 Sm 3.43-3.50, 3 Er 3.45-3.63
Ho: 0.6546 0.2076 0.1935  3 Ho 2.96-3.01
Ho: 0.7185 0.8164 0.0103  1 Ho 3.00, 1 Sm 3.31, 1 Er 3.35
Ho: 0.7924 0.3454 0.8065  3 Ho 2.96-3.01
Ho: 0.8117 0.9759 0.6376  2 Ho 2.96-3.29
Er: 0.2362 0.0483 0.6462  5 Ho 3.26-3.63, 1 Sm 3.55
Er: 0.4341 0.3369 0.8802  6 Ho 3.35-3.76, 2 Sm 3.49-3.69, 2 Er 3.56-3.72
Er: 0.6631 0.5659 0.1198  6 Ho 3.35-3.76, 2 Sm 3.49-3.69, 2 Er 3.56-3.72
Er: 0.9517 0.7638 0.3538  5 Ho 3.26-3.63, 1 Sm 3.55

Computed properties:
For the total DFT energy (no corrections), the calculation gives -79.8 eV per cell. As for the formation energy: 0.172 eV per atom. Its excess energy over the best structure of this formula in the dataset is 1.49 eV/f.u.



Record 8
First-principles (GGA-PBE) data for a relaxed structure of Sm5Ho4Er4, as listed in Alexandria.

a b c (Å): 9.4188 9.4188 9.4188
angles (deg): 94.07 94.07 149.08
Last column: nearest neighbours and their distance in Å.
Element x y z (fractional)
Sm: 0.0000 0.0000 0.0000  8 Sm 3.57, 4 Ho 3.58
Sm: 0.3057 0.4616 0.7673  5 Ho 3.52-3.57, 3 Er 3.54-3.55, 4 Sm 3.57-3.60
Sm: 0.4616 0.6943 0.1559  5 Ho 3.52-3.57, 3 Er 3.54-3.55, 4 Sm 3.57-3.60
Sm: 0.5384 0.3057 0.8441  5 Ho 3.52-3.57, 3 Er 3.54-3.55, 4 Sm 3.57-3.60
Sm: 0.6943 0.5384 0.2327  5 Ho 3.52-3.57, 3 Er 3.54-3.55, 4 Sm 3.57-3.60
Ho: 0.1546 0.2323 0.3869  6 Sm 3.52-3.58, 2 Ho 3.54, 4 Er 3.55-3.58
Ho: 0.2323 0.8454 0.0777  6 Sm 3.52-3.58, 2 Ho 3.54, 4 Er 3.55-3.58
Ho: 0.7677 0.1546 0.9223  6 Sm 3.52-3.58, 2 Ho 3.54, 4 Er 3.55-3.58
Ho: 0.8454 0.7677 0.6131  6 Sm 3.52-3.58, 2 Ho 3.54, 4 Er 3.55-3.58
Er: 0.0759 0.6143 0.6901  5 Er 3.52-3.54, 3 Sm 3.54-3.55, 4 Ho 3.55-3.58
Er: 0.3857 0.0759 0.4616  5 Er 3.52-3.54, 3 Sm 3.54-3.55, 4 Ho 3.55-3.58
Er: 0.6143 0.9241 0.5384  5 Er 3.52-3.54, 3 Sm 3.54-3.55, 4 Ho 3.55-3.58
Er: 0.9241 0.3857 0.3099  5 Er 3.52-3.54, 3 Sm 3.54-3.55, 4 Ho 3.55-3.58

Computed properties:
For the total DFT energy (no corrections), the calculation gives -59.9 eV per cell. As for the formation energy: 0.019 eV per atom.